(1)
The following is a PBE-GGA calculation of crystalline Nb3Fe8W at its relaxed geometry, from Alexandria via LeMat-Bulk.

abc: 4.7657 4.7657 7.8430
angles: 90.00 90.00 120.00
Site moments in Bohr magnetons follow the coordinates.
Positions (direct):
Nb 0.6667 0.3333 0.4417  -0.18
Nb 0.6667 0.3333 0.0678  -0.29
Nb 0.0000 0.0000 0.9282  -0.24
Fe 0.3333 0.6667 0.4996  -1.60
Fe 0.3333 0.6667 0.0006  1.02
Fe 0.5024 0.0048 0.7487  1.18
Fe 0.5024 0.4976 0.7487  1.18
Fe 0.9952 0.4976 0.7487  1.18
Fe 0.1634 0.3267 0.2510  1.15
Fe 0.1634 0.8366 0.2510  1.15
Fe 0.6733 0.8366 0.2510  1.15
W 0.0000 0.0000 0.5631  -0.12

Properties
Raw total energy in eV/atom: -9.342
DFT formation energy in meV/atom: -103

(2)
The following is a PBE-GGA calculation of crystalline BeCrAg2 at its relaxed geometry, from Alexandria via LeMat-Bulk.

abc: 3.8020 3.8020 9.6996
angles: 78.70 78.70 90.00
Site moments in Bohr magnetons follow the coordinates.
Positions (direct):
Cr 0.0000 0.0000 0.0000  3.62
Cr 0.7500 0.2500 0.5000  3.62
Ag 0.6148 0.1250 0.2500  0.04
Ag 0.1352 0.6250 0.2500  0.04
Ag 0.3750 0.3852 0.7500  0.05
Ag 0.8750 0.8648 0.7500  0.05
Be 0.5000 0.5000 0.0000  -0.03
Be 0.2500 0.7500 0.5000  -0.03

Properties
Raw total energy in eV/atom: -4.064
DFT formation energy in meV/atom: 699

(3)
The following is a PBE-GGA calculation of crystalline SrPbCl2 at its relaxed geometry, from Alexandria via LeMat-Bulk.

abc: 3.8761 6.4467 4.6574
angles: 90.00 90.00 90.00
Positions (direct):
Pb 0.5000 0.0000 0.5000
Sr 0.0000 0.5000 0.5000
Cl 0.0000 0.0000 0.0000
Cl 0.5000 0.5000 0.0000

Properties
Raw total energy in eV/atom: -3.553
E above lowest polymorph in meV per atom: 188

(4)
The following is a PBE-GGA calculation of crystalline Hg2Pd2I at its relaxed geometry, from Alexandria via LeMat-Bulk.

abc: 7.5834 7.5834 3.7344
angles: 90.00 90.00 90.00
Positions (direct):
I 0.0000 0.0000 0.0000
I 0.5000 0.5000 0.0000
Hg 0.1514 0.6514 0.5000
Hg 0.6514 0.8486 0.5000
Hg 0.8486 0.3486 0.5000
Hg 0.3486 0.1514 0.5000
Pd 0.3571 0.8571 0.0000
Pd 0.8571 0.6429 0.0000
Pd 0.6429 0.1429 0.0000
Pd 0.1429 0.3571 0.0000

Properties
Raw total energy in eV/atom: -2.506
E above lowest polymorph in meV per atom: 0

(5)
The following is a PBE-GGA calculation of crystalline Sr2Cu3Rh at its relaxed geometry, from Alexandria via LeMat-Bulk.

abc: 6.0614 6.0614 8.5259
angles: 111.18 111.18 89.05
Positions (direct):
Sr 0.2500 0.7500 0.5000
Sr 0.7450 0.7450 0.0000
Sr 0.7500 0.2500 0.5000
Sr 0.2550 0.2550 0.0000
Cu 0.6705 0.1639 0.8344
Cu 0.8361 0.3295 0.1656
Cu 0.3295 0.8361 0.1656
Cu 0.1639 0.6705 0.8344
Cu 0.8333 0.8333 0.6666
Cu 0.1667 0.1667 0.3334
Rh 0.3350 0.3350 0.6700
Rh 0.6650 0.6650 0.3300

Properties
Raw total energy in eV/atom: -3.948
E above lowest polymorph in meV per atom: 0
DFT formation energy in meV/atom: -114

(6)
The following is a PBE-GGA calculation of crystalline NaAl2Zn2 at its relaxed geometry, from Alexandria via LeMat-Bulk.

abc: 4.0997 4.0997 6.4919
angles: 71.59 71.59 90.00
Positions (direct):
Na 0.0000 0.0000 0.0000
Zn 0.3929 0.3929 0.2142
Zn 0.6071 0.6071 0.7858
Al 0.7500 0.2500 0.5000
Al 0.2500 0.7500 0.5000

Properties
Raw total energy in eV/atom: -2.266
E above lowest polymorph in meV per atom: 0
DFT formation energy in meV/atom: 5

(7)
The following is a PBE-GGA calculation of crystalline BePbAu2 at its relaxed geometry, from Alexandria via LeMat-Bulk.

abc: 5.0474 5.0474 8.1753
angles: 72.02 72.02 90.00
Positions (direct):
Pb 0.0000 0.0000 0.0000
Pb 0.7500 0.2500 0.5000
Be 0.5000 0.5000 0.0000
Be 0.2500 0.7500 0.5000
Au 0.5003 0.1250 0.2500
Au 0.2497 0.6250 0.2500
Au 0.3750 0.4997 0.7500
Au 0.8750 0.7503 0.7500

Properties
Raw total energy in eV/atom: -3.332
E above lowest polymorph in meV per atom: 189
DFT formation energy in meV/atom: 166

(8)
The following is a PBE-GGA calculation of crystalline Ti6RhN at its relaxed geometry, from Alexandria via LeMat-Bulk.

abc: 4.6873 5.3581 5.2586
angles: 83.10 91.37 67.07
Positions (direct):
Ti 0.0623 0.3401 0.7952
Ti 0.7751 0.9647 0.6713
Ti 0.5966 0.2532 0.1191
Ti 0.2249 0.0353 0.3287
Ti 0.9377 0.6599 0.2048
Ti 0.4034 0.7468 0.8809
Rh 0.5000 0.5000 0.5000
N 0.0000 0.0000 0.0000

Properties
Raw total energy in eV/atom: -8.540

Calculated density of states at the Fermi level (states/eV per cell), listed in the same order as above: 17.1, 4.1, 1.6, 4.8, 5.3, 2.1, 5.5, 7.1